[1]
{"formula": "La2TaRe", "functional": "PBE", "state": "optimized geometry", "formation_energy_ev_per_fu": 3.35, "energy_ev_per_atom": -7.70, "n_ef_per_ev_fu": 6.7, "de_polymorph_mev_per_atom": 711, "total_magnetization_mub_per_fu": 2.10, "cell": [[2.346, -0.592, 4.557], [1.433, 4.142, 2.722], [-2.485, 1.210, 4.357]], "species": ["Re", "Ta", "La", "La"], "frac_coords": [[0.500, 0.500, 0.500], [0.000, 0.000, 0.000], [0.250, 0.250, 0.250], [0.750, 0.750, 0.750]]}



[2]
{"formula": "LaTa2Re", "functional": "PBE", "state": "optimized geometry", "formation_energy_ev_per_fu": 1.56, "energy_ev_per_atom": -9.88, "n_ef_per_ev_fu": 4.1, "de_polymorph_mev_per_atom": 254, "total_magnetization_mub_per_fu": 0.00, "cell": [[5.523, -0.014, -0.022], [4.587, 3.077, -0.022], [1.652, 0.500, 5.159]], "species": ["La", "Re", "Ta", "Ta"], "frac_coords": [[0.750, 0.750, 0.750], [0.250, 0.250, 0.250], [0.957, 0.957, 0.082], [0.543, 0.543, 0.418]]}



[3]
{"formula": "La2TaRe", "functional": "PBE", "state": "optimized geometry", "formation_energy_ev_per_fu": 2.82, "energy_ev_per_atom": -7.83, "n_ef_per_ev_fu": 4.4, "de_polymorph_mev_per_atom": 579, "total_magnetization_mub_per_fu": 0.00, "cell": [[2.915, 0.000, 0.000], [0.000, 5.337, 0.000], [0.000, 0.000, 5.839]], "species": ["Ta", "Re", "La", "La"], "frac_coords": [[0.500, 0.500, 0.750], [0.500, 0.500, 0.250], [0.000, 0.000, 0.494], [0.000, 0.000, 0.006]]}



[4]
{"formula": "LaTa2Re", "functional": "PBE", "state": "optimized geometry", "formation_energy_ev_per_fu": 1.07, "energy_ev_per_atom": -10.00, "n_ef_per_ev_fu": 2.8, "de_polymorph_mev_per_atom": 133, "total_magnetization_mub_per_fu": 0.00, "cell": [[2.948, 0.002, 0.000], [-1.166, 2.708, 0.000], [0.000, 0.000, 9.965]], "species": ["Re", "Ta", "Ta", "La"], "frac_coords": [[0.500, 0.500, 0.778], [0.500, 0.500, 0.217], [0.000, 0.000, 0.986], [0.000, 0.000, 0.519]]}



[5]
{"formula": "LaTa2Re", "functional": "PBE", "state": "optimized geometry", "formation_energy_ev_per_fu": 2.81, "energy_ev_per_atom": -9.57, "n_ef_per_ev_fu": 2.7, "de_polymorph_mev_per_atom": 568, "total_magnetization_mub_per_fu": 0.00, "cell": [[-6.481, 2.216, -3.784], [1.082, -5.736, -5.212], [-4.327, -3.613, -2.796]], "species": ["Ta", "Ta", "Ta", "Ta", "Re", "Re", "La", "La"], "frac_coords": [[0.683, 0.125, 0.250], [0.375, 0.317, 0.750], [0.067, 0.625, 0.250], [0.875, 0.933, 0.750], [0.000, 0.000, 0.000], [0.750, 0.250, 0.500], [0.250, 0.750, 0.500], [0.500, 0.500, 0.000]]}



[6]
{"formula": "LaTa2Re", "functional": "PBE", "state": "optimized geometry", "formation_energy_ev_per_fu": 0.90, "energy_ev_per_atom": -10.04, "n_ef_per_ev_fu": 4.1, "de_polymorph_mev_per_atom": 90, "total_magnetization_mub_per_fu": 0.00, "cell": [[3.220, 0.000, 0.000], [0.000, 3.220, 0.000], [0.000, 0.000, 8.100]], "species": ["Ta", "Ta", "La", "Re"], "frac_coords": [[0.000, 0.000, 0.977], [0.500, 0.500, 0.197], [0.000, 0.000, 0.523], [0.500, 0.500, 0.802]]}